Ac8CoPd3I3: optimized geometry, PBE.

Output
SG: C2/m, No. 12
Electronic total energy, eV/cell: -71.58
Fermi-level density of states, states/eV per atom: 0.76

a b c (Å): 8.894 8.884 10.059
angles (deg): 116.23 90.00 120.04
Fractional coordinates of all 15 atoms:
Pd 0.500 0.000 0.500
Pd 0.500 0.500 0.500
Pd 0.000 0.500 0.500
Ac 0.258 0.038 0.318
Ac 0.742 0.962 0.682
Ac 0.219 0.962 0.682
Ac 0.781 0.038 0.318
Ac 0.271 0.542 0.311
Ac 0.729 0.458 0.689
Ac 0.219 0.439 0.681
Ac 0.781 0.561 0.319
Co 0.000 0.000 0.500
I 0.500 0.500 0.000
I 0.000 0.000 0.000
I 0.000 0.500 0.000